A relaxed Pr12ZnHg6 crystal. Source: the Alexandria database, functional GGA-PBE.

a b c (Å): 8.334 8.334 8.334
angles (deg): 90.25 90.25 90.25
Positions (direct):
Hg1 0.119 0.734 0.281
Hg2 0.281 0.119 0.734
Pr1 0.130 0.354 0.011
Pr2 0.554 0.194 0.462
Hg3 0.719 0.881 0.266
Pr3 0.462 0.554 0.194
Hg4 0.881 0.266 0.719
Zn1 0.000 0.000 0.000
Pr4 0.011 0.130 0.354
Pr5 0.354 0.011 0.130
Pr6 0.989 0.870 0.646
Pr7 0.538 0.446 0.806
Pr8 0.446 0.806 0.538
Hg5 0.266 0.719 0.881
Hg6 0.734 0.281 0.119
Pr9 0.806 0.538 0.446
Pr10 0.194 0.462 0.554
Pr11 0.646 0.989 0.870
Pr12 0.870 0.646 0.989

## Properties
As for the symmetry: No. 148. The calculation puts the volume at 578.8 Å³ per cell. For the formation energy from the elements, the calculation gives -0.210 eV per atom. The value obtained for the calculated total energy is -3.391 eV/atom.